Entry 1:
Compound: CeHg2Bi
Source: Alexandria via LeMat-Bulk
Functional: PBE-GGA
Structure: relaxed

## Properties
As for the space group: P4/mmm, No. 123. The value obtained for the formation energy is -0.23 eV per atom. The calculation puts the energy at -0.2087 Ry per atom.

Lattice parameters (Å, degrees): 4.0280 4.0280 6.8524 90.00 90.00 90.00
Last column: nearest neighbours and their distance in Å.
Element x y z (fractional)
Bi  0.5000  0.5000  0.0000  8 Hg 3.31, 2 Ce 3.43
Ce  0.5000  0.5000  0.5000  8 Hg 3.34, 2 Bi 3.43
Hg  0.0000  0.0000  0.7548  4 Bi 3.31, 4 Ce 3.34, 2 Hg 3.36-3.49
Hg  0.0000  0.0000  0.2452  4 Bi 3.31, 4 Ce 3.34, 2 Hg 3.36-3.49

=====

Entry 2:
Compound: DySc2Au
Source: Alexandria via LeMat-Bulk
Functional: PBE-GGA
Structure: relaxed

## Properties
As for the space group: Cmcm, No. 63. The value obtained for the formation energy is -0.43 eV per atom. The calculation puts the energy at -0.4092 Ry per atom. The energy above the lowest structure with this stoichiometry is 0 meV per atom.

Lattice parameters (Å, degrees): 4.7260 6.0457 7.5016 90.00 90.00 113.01
Last column: nearest neighbours and their distance in Å.
Element x y z (fractional)
Dy  0.9448  0.8898  0.2500  1 Au 2.93
Dy  0.0552  0.1102  0.7500  1 Au 2.93
Sc  0.3520  0.7040  0.5435  3 Au 2.72-2.90
Sc  0.6480  0.2960  0.4565  3 Au 2.72-2.90
Sc  0.3520  0.7040  0.9565  3 Au 2.72-2.90
Sc  0.6480  0.2960  0.0435  3 Au 2.72-2.90
Au  0.7919  0.5839  0.7500  6 Sc 2.72-2.90, 1 Dy 2.93
Au  0.2081  0.4161  0.2500  6 Sc 2.72-2.90, 1 Dy 2.93

=====

Entry 3:
Compound: Li2Er2Si4Pd
Source: Alexandria via LeMat-Bulk
Functional: PBE-GGA
Structure: relaxed

## Properties
The raw formation energy is -0.537 eV/atom. As for the space group: I4/mmm, No. 139. The calculation puts the energy at -0.3648 Ry per atom.

Lattice parameters (Å, degrees): 5.9938 5.9938 5.9938 89.04 120.55 120.55
Last column: nearest neighbours and their distance in Å.
Element x y z (fractional)
Li  0.0000  0.7158  0.7158  1 Pd 2.43, 4 Si 2.55
Li  0.0000  0.2842  0.2842  1 Pd 2.43, 4 Si 2.55
Er  0.5000  0.7500  0.2500  4 Li 2.99, 8 Si 3.02
Er  0.5000  0.2500  0.7500  4 Li 2.99, 8 Si 3.02
Si  0.0000  0.7101  0.2899  1 Pd 2.44, 2 Si 2.50, 2 Li 2.55
Si  0.4202  0.7101  0.7101  1 Pd 2.44, 2 Si 2.50, 2 Li 2.55
Si  0.0000  0.2899  0.7101  1 Pd 2.44, 2 Si 2.50, 2 Li 2.55
Si  0.5798  0.2899  0.2899  1 Pd 2.44, 2 Si 2.50, 2 Li 2.55
Pd  0.0000  0.0000  0.0000  2 Li 2.43, 4 Si 2.44

=====

Entry 4:
Compound: Te2AsS2
Source: Alexandria via LeMat-Bulk
Functional: PBE-GGA
Structure: relaxed

## Properties
The raw formation energy is 0.349 eV/atom. As for the space group: P4/mbm, No. 127. The calculation puts the energy at -0.2564 Ry per atom. The energy above the lowest structure with this stoichiometry is 0 meV per atom.

Lattice parameters (Å, degrees): 8.5491 8.5491 3.3007 90.00 90.00 90.00
Last column: nearest neighbours and their distance in Å.
Element x y z (fractional)
As  0.0000  0.0000  0.0000  4 Te 3.03, 2 As 3.30
As  0.5000  0.5000  0.0000  4 Te 3.03, 2 As 3.30
Te  0.2695  0.7695  0.0000  2 S 2.56
Te  0.7695  0.7305  0.0000  2 S 2.56
Te  0.7305  0.2305  0.0000  2 S 2.56
Te  0.2305  0.2695  0.0000  2 S 2.56
S  0.1081  0.6081  0.5000  2 Te 2.56, 1 S 2.61
S  0.6081  0.8919  0.5000  2 Te 2.56, 1 S 2.61
S  0.8919  0.3919  0.5000  2 Te 2.56, 1 S 2.61
S  0.3919  0.1081  0.5000  2 Te 2.56, 1 S 2.61

=====

Entry 5:
Compound: Al2Zn2Ni
Source: Alexandria via LeMat-Bulk
Functional: PBE-GGA
Structure: relaxed

## Properties
As for the space group: P4/mbm, No. 127. The value obtained for the formation energy is 0.05 eV per atom. The calculation puts the energy at -0.2285 Ry per atom. The energy above the lowest structure with this stoichiometry is 0 meV per atom.

Lattice parameters (Å, degrees): 6.2960 6.2960 3.9558 90.00 90.00 90.00
Last column: nearest neighbours and their distance in Å.
Element x y z (fractional)
Ni  0.0000  0.0000  0.0000  4 Al 2.39
Ni  0.5000  0.5000  0.0000  4 Al 2.39
Zn  0.1530  0.6530  0.5000  6 Al 2.62-2.76, 1 Zn 2.72
Zn  0.6530  0.8470  0.5000  6 Al 2.62-2.76, 1 Zn 2.72
Zn  0.8470  0.3470  0.5000  6 Al 2.62-2.76, 1 Zn 2.72
Zn  0.3470  0.1530  0.5000  6 Al 2.62-2.76, 1 Zn 2.72
Al  0.3466  0.8466  0.0000  2 Ni 2.39, 2 Zn 2.62
Al  0.8466  0.6534  0.0000  2 Ni 2.39, 2 Zn 2.62
Al  0.6534  0.1534  0.0000  2 Ni 2.39, 2 Zn 2.62
Al  0.1534  0.3466  0.0000  2 Ni 2.39, 2 Zn 2.62

=====

Entry 6:
Compound: NiPbCl2
Source: Alexandria via LeMat-Bulk
Functional: PBE-GGA
Structure: relaxed

## Properties
The raw formation energy is -0.203 eV/atom. As for the space group: P4mm, No. 99. The calculation puts the energy at -0.2572 Ry per atom. The energy above the lowest structure with this stoichiometry is 268 meV per atom.

Lattice parameters (Å, degrees): 3.3639 3.3639 8.0741 90.00 90.00 90.00
Last column: nearest neighbours and their distance in Å.
Element x y z (fractional)
Pb  0.5000  0.5000  0.7302  5 Cl 3.00-3.03, 4 Ni 3.29, 4 Pb 3.36
Ni  0.0000  0.0000  0.4490  4 Cl 2.49
Cl  0.0000  0.0000  0.9627  4 Pb 3.03, 4 Cl 3.36
Cl  0.5000  0.5000  0.3581  4 Ni 2.49

=====

Entry 7:
Compound: RbCoPd3
Source: Alexandria via LeMat-Bulk
Functional: PBE-GGA
Structure: relaxed

## Properties
As for the space group: Pm-3m, No. 221. The value obtained for the formation energy is 0.51 eV per atom. The calculation puts the energy at -0.3104 Ry per atom.

Lattice parameters (Å, degrees): 4.7861 4.7861 4.7861 90.00 90.00 90.00
Last column: nearest neighbours and their distance in Å.
Element x y z (fractional)
Co  0.0000  0.0000  0.0000  6 Pd 2.39
Rb  0.5000  0.5000  0.5000  12 Pd 3.38
Pd  0.0000  0.5000  0.0000  2 Co 2.39
Pd  0.0000  0.0000  0.5000  2 Co 2.39
Pd  0.5000  0.0000  0.0000  2 Co 2.39

=====

Entry 8:
Compound: NaYHfRu2
Source: Alexandria via LeMat-Bulk
Functional: PBE-GGA
Structure: relaxed

## Properties
As for the space group: P4/mmm, No. 123. The value obtained for the formation energy is 1.36 eV per atom. The calculation puts the energy at -0.4337 Ry per atom.

Lattice parameters (Å, degrees): 4.8557 4.6911 4.8557 90.00 90.00 90.00
Last column: nearest neighbours and their distance in Å.
Element x y z (fractional)
Y  0.0000  0.0000  0.0000  2 Na 2.35, 4 Ru 2.43
Ru  0.0000  0.0000  0.5000  2 Y 2.43
Ru  0.5000  0.0000  0.0000  2 Y 2.43
Hf  0.5000  0.5000  0.5000  8 Ru 3.38, 4 Na 3.43
Na  0.0000  0.5000  0.0000  2 Y 2.35

=====

Entry 9:
Compound: Co2MoOs
Source: Alexandria via LeMat-Bulk
Functional: PBE-GGA
Structure: relaxed

## Properties
As for the space group: Fm-3m, No. 225. The value obtained for the formation energy is 0.31 eV per atom. The calculation puts the energy at -0.6440 Ry per atom. The energy above the lowest structure with this stoichiometry is 308 meV per atom.

Lattice parameters (Å, degrees): 4.1959 4.1959 4.1959 60.00 60.00 60.00
Last column: nearest neighbours and their distance in Å.
Element x y z (fractional)
Co  0.2500  0.2500  0.2500  4 Os 2.57, 4 Mo 2.57
Co  0.7500  0.7500  0.7500  4 Mo 2.57, 4 Os 2.57
Mo  0.0000  0.0000  0.0000  8 Co 2.57
Os  0.5000  0.5000  0.5000  8 Co 2.57

=====

Entry 10:
Compound: K2TiHPt
Source: Alexandria via LeMat-Bulk
Functional: PBE-GGA
Structure: relaxed

## Properties
As for the space group: P4/mmm, No. 123. The calculation puts the energy at -0.2439 Ry per atom. The energy above the lowest structure with this stoichiometry is 106 meV per atom.

Lattice parameters (Å, degrees): 6.1182 3.4243 6.1182 90.00 90.00 90.00
Last column: nearest neighbours and their distance in Å.
Element x y z (fractional)
H  0.0000  0.0000  0.0000  2 Pt 1.71
K  0.0000  0.0000  0.5000  2 H 3.06, 2 K 3.42
K  0.5000  0.0000  0.0000  2 H 3.06, 2 K 3.42
Pt  0.0000  0.5000  0.0000  2 H 1.71
Ti  0.5000  0.5000  0.5000  2 Ti 3.42, 8 K 3.51

=====

Entry 11:
Compound: KAl5Ag2
Source: Alexandria via LeMat-Bulk
Functional: PBE-GGA
Structure: relaxed

## Properties
As for the space group: Immm, No. 71. The value obtained for the formation energy is 0.00 eV per atom. The calculation puts the energy at -0.2344 Ry per atom.

Lattice parameters (Å, degrees): 4.1792 6.7503 6.7503 68.70 71.97 71.97
Last column: nearest neighbours and their distance in Å.
Element x y z (fractional)
K  0.0000  0.0000  0.0000  4 Ag 3.34, 8 Al 3.50
Al  0.0000  0.5000  0.5000  2 Ag 2.56
Al  0.6417  0.5434  0.1731  3 Ag 2.66-2.75, 4 Al 2.82-2.93
Al  0.3583  0.4566  0.8269  3 Ag 2.66-2.75, 4 Al 2.82-2.93
Al  0.3583  0.8269  0.4566  3 Ag 2.66-2.75, 4 Al 2.82-2.93
Al  0.6417  0.1731  0.5434  3 Ag 2.66-2.75, 4 Al 2.82-2.93
Ag  0.7525  0.7475  0.7475  7 Al 2.56-2.75
Ag  0.2475  0.2525  0.2525  7 Al 2.56-2.75

=====

Entry 12:
Compound: SrNpIr2
Source: Alexandria via LeMat-Bulk
Functional: PBE-GGA
Structure: relaxed

## Properties
As for the space group: R-3m, No. 166. The value obtained for the formation energy is -0.09 eV per atom. The calculation puts the energy at -0.6012 Ry per atom. The energy above the lowest structure with this stoichiometry is 138 meV per atom.

Lattice parameters (Å, degrees): 3.8719 3.8719 7.8074 75.64 75.64 60.00
Last column: nearest neighbours and their distance in Å.
Element x y z (fractional)
Np  0.0000  0.0000  0.0000  6 Ir 2.70
Sr  0.5000  0.5000  0.5000  6 Ir 3.15
Ir  0.2656  0.2656  0.2033  3 Np 2.70
Ir  0.7344  0.7344  0.7967  3 Np 2.70

=====

Entry 13:
Compound: YBeW
Source: Alexandria via LeMat-Bulk
Functional: PBE-GGA
Structure: relaxed

## Properties
As for the space group: I4mm, No. 107. The value obtained for the formation energy is 0.47 eV per atom. The calculation puts the energy at -0.5328 Ry per atom. The energy above the lowest structure with this stoichiometry is 0 meV per atom.

Lattice parameters (Å, degrees): 6.5019 6.5016 2.8864 77.18 77.17 25.65
Last column: nearest neighbours and their distance in Å.
Element x y z (fractional)
Y  0.6548  0.6548  0.3452  4 Y 2.89, 4 Be 2.92
Be  0.9855  0.9855  0.0145  4 W 2.56
W  0.3597  0.3597  0.6403  4 Be 2.56